Below is an optimized crystal structure of CsFe2Sb2, with properties calculated at the PBE level.

## Properties
**Total DFT energy (no corrections)**: -26.2 eV/f.u.

Unit cell a=3.6866 b=3.6851 c=9.7754 alpha=79.16 beta=79.15 gamma=90.00
Element x y z (fractional)
Cs (0.0000, 0.0000, 0.0000)
Sb (0.6513, 0.6513, 0.6974)
Sb (0.3487, 0.3487, 0.3026)
Fe (0.7501, 0.2500, 0.5000)
Fe (0.2499, 0.7500, 0.5000)